# 1
The following is a PBE-GGA calculation of an optimized crystal structure of Hg4MoAu, from Alexandria via LeMat-Bulk.

Geometry as POSCAR:
```
Hg4MoAu
1.0
2.3371 -1.0470 5.1664
-3.3563 -1.5709 4.4178
0.2310 -5.3959 2.0199
Mo Hg Au
1 4 1
direct
0.7500 0.7500 0.7500
0.3751 0.3751 0.3751
0.3751 0.3751 0.8748
0.8748 0.3751 0.3751
0.3751 0.8748 0.3751
0.0000 0.0000 0.0000
```

Computed properties:
Total energy in eV per atom: -1.77
Total magnetization in μB per atom: 0.65
Density in g/cm3: 13.4

=====

# 2
The following is a PBE-GGA calculation of an optimized crystal structure of HgMo2Au, from Alexandria via LeMat-Bulk.

Geometry as POSCAR:
```
HgMo2Au
1.0
3.9555 0.0000 0.0000
0.0000 3.9555 0.0000
0.0000 0.0000 4.4159
Hg Mo Au
1 2 1
direct
0.0000 0.5000 0.5000
0.5000 0.5000 0.0000
0.0000 0.0000 0.0000
0.5000 0.0000 0.5000
```

Computed properties:
Total energy in eV per atom: -5.87
Total magnetization in μB per atom: 0.00
Density in g/cm3: 14.2

=====

# 3
The following is a PBE-GGA calculation of an optimized crystal structure of HgMo2Au, from Alexandria via LeMat-Bulk.

Geometry as POSCAR:
```
HgMo2Au
1.0
2.7681 0.0000 0.0000
0.0000 4.2467 0.0000
0.0000 0.0000 5.9623
Mo Au Hg
2 1 1
direct
0.5000 0.5000 0.2380
0.0000 0.0000 0.0188
0.0000 0.0000 0.4908
0.5000 0.5000 0.7524
```

Computed properties:
Total energy in eV per atom: -5.89
Total magnetization in μB per atom: 0.00
Density in g/cm3: 14.0

=====

# 4
The following is a PBE-GGA calculation of an optimized crystal structure of HgMo2Au, from Alexandria via LeMat-Bulk.

Geometry as POSCAR:
```
HgMo2Au
1.0
-1.5981 1.8142 1.4022
-2.1894 -1.7157 -0.2726
2.1600 -3.9620 7.5877
Hg Au Mo
1 1 2
direct
0.5000 0.5000 0.7500
0.5000 0.5000 0.2500
0.0000 0.0000 0.4926
0.0000 0.0000 0.0074
```

Computed properties:
Total energy in eV per atom: -5.87
Total magnetization in μB per atom: 0.00
Density in g/cm3: 14.2

=====

Which value of total energy does entry 1 give?
-1.77 eV per atom

=====

What is the total energy in the third record?
-5.89 eV per atom